{"formula": "NaPuTaO6", "functional": "PBE-GGA", "state": "optimized geometry", "e_tot_ev_per_cell": -159.5, "formation_energy_uncorrected_ev_per_atom": -2.501, "dos_at_fermi_per_ev_cell": 14.6, "magmom_total_mub_per_cell": 4.0, "sg": "No. 163", "cell": [[5.523, 0.000, 0.000], [-2.762, 4.783, 0.000], [0.000, 0.000, 10.182]], "species": ["Na", "Na", "Pu", "Pu", "Ta", "Ta", "O", "O", "O", "O", "O", "O", "O", "O", "O", "O", "O", "O"], "frac_coords": [[0.000, 0.000, 0.000], [0.000, 0.000, 0.500], [0.333, 0.667, 0.250], [0.667, 0.333, 0.750], [0.333, 0.667, 0.750], [0.667, 0.333, 0.250], [0.009, 0.378, 0.645], [0.009, 0.631, 0.855], [0.369, 0.378, 0.855], [0.369, 0.991, 0.645], [0.378, 0.009, 0.145], [0.378, 0.369, 0.355], [0.622, 0.631, 0.645], [0.622, 0.991, 0.855], [0.631, 0.009, 0.355], [0.631, 0.622, 0.145], [0.991, 0.369, 0.145], [0.991, 0.622, 0.355]]}